# 1
The following is a DFT calculation (PBE-GGA) of a geometry-optimized LuTlZnAg structure.

Properties
- crystal system = cubic
- space-group type = No. 216
- total energy (eV/atom) = -2.89
- energy of formation (eV per atom) = -0.136

Unit cell a=4.932 b=4.932 c=4.932 alpha=60.00 beta=60.00 gamma=60.00
Element x y z (fractional)
Lu (0.000, 0.000, 0.000)
Tl (0.500, 0.500, 0.500)
Zn (0.250, 0.250, 0.250)
Ag (0.750, 0.750, 0.750)

=====

# 2
The following is a DFT calculation (PBE-GGA) of a geometry-optimized LuZrTlAg structure.

Properties
- crystal system = cubic
- space-group type = No. 216
- total energy (eV/atom) = -4.69
- energy of formation (eV per atom) = -0.122

Unit cell a=5.062 b=5.062 c=5.062 alpha=60.00 beta=60.00 gamma=60.00
Element x y z (fractional)
Lu (0.000, 0.000, 0.000)
Zr (0.500, 0.500, 0.500)
Tl (0.750, 0.750, 0.750)
Ag (0.250, 0.250, 0.250)